1.
A plane-wave DFT calculation with GGA-PBE was carried out for a relaxed Sm3P2S crystal.

Cell lengths 4.081, 5.770, 12.218 Å; angles 90.00, 90.00, 90.00 degrees
Space group Immm (No. 71)
One atom of each set of equivalent atoms:
Sm (0.000, 0.000, 0.000) x2
Sm (0.000, 0.000, 0.330) x4
P (0.000, 0.500, 0.334) x4
S (0.000, 0.500, 0.000) x2

## Properties
Calculated total energy: -79.7 eV per cell
Uncorrected formation energy: -1.789 eV per atom
Crystal system: orthorhombic

---

2.
A plane-wave DFT calculation with GGA-PBE was carried out for a relaxed Sm2PS crystal.

Cell lengths 3.9895, 3.9895, 21.0435 Å; angles 90.00, 90.00, 120.00 degrees
Space group R3m (No. 160, hexagonal axes)
One atom of each set of equivalent atoms:
Sm (0.0000, 0.0000, 0.0000) x3
Sm (0.0000, 0.0000, 0.1784) x3
P (0.0000, 0.0000, 0.5902) x3
S (0.0000, 0.0000, 0.4210) x3

## Properties
Excess energy over the best structure of this formula in the dataset: 106 meV per atom
Calculated total energy: -78.1 eV per cell
Uncorrected formation energy: -1.762 eV per atom
Crystal system: trigonal

---

3.
A plane-wave DFT calculation with GGA-PBE was carried out for a relaxed Sm7PS5 crystal.

Cell lengths 13.153, 3.957, 23.872 Å; angles 90.00, 91.70, 90.00 degrees
Space group Cm (No. 8)
One atom of each set of equivalent atoms:
Sm (0.000, 0.000, 0.000) x2
Sm (0.007, 0.000, 0.575) x2
Sm (0.044, 0.500, 0.423) x2
Sm (0.063, 0.500, 0.145) x2
Sm (0.103, 0.000, 0.286) x2
Sm (0.179, 0.000, 0.789) x2
Sm (0.220, 0.500, 0.930) x2
Sm (0.237, 0.500, 0.653) x2
Sm (0.275, 0.000, 0.501) x2
Sm (0.283, 0.000, 0.076) x2
Sm (0.327, 0.500, 0.360) x2
Sm (0.342, 0.500, 0.218) x2
Sm (0.441, 0.000, 0.857) x2
Sm (0.455, 0.000, 0.716) x2
P (0.334, 0.500, 0.772) x2
P (0.448, 0.000, 0.304) x2
S (0.081, 0.000, 0.893) x2
S (0.097, 0.000, 0.682) x2
S (0.141, 0.500, 0.538) x2
S (0.142, 0.500, 0.038) x2
S (0.185, 0.000, 0.394) x2
S (0.202, 0.000, 0.183) x2
S (0.362, 0.000, 0.965) x2
S (0.368, 0.000, 0.609) x2
S (0.414, 0.500, 0.467) x2
S (0.421, 0.500, 0.110) x2

## Properties
Calculated total energy: -328.8 eV per cell
Uncorrected formation energy: -1.778 eV per atom
Crystal system: monoclinic

---

4.
A plane-wave DFT calculation with GGA-PBE was carried out for a relaxed Sm8P3S4 crystal.

Cell lengths 11.399, 11.422, 8.068 Å; angles 90.00, 134.87, 90.00 degrees
Space group C2/m (No. 12)
One atom of each set of equivalent atoms:
Sm (0.000, 0.247, 0.000) x4
Sm (0.000, 0.247, 0.500) x4
Sm (0.244, 0.000, 0.492) x4
Sm (0.247, 0.000, 0.997) x4
P (0.000, 0.000, 0.500) x2
P (0.250, 0.250, 0.000) x4
S (0.000, 0.000, 0.000) x2
S (0.000, 0.500, 0.500) x2
S (0.250, 0.250, 0.500) x4

## Properties
Calculated total energy: -193.2 eV per cell
Uncorrected formation energy: -1.742 eV per atom
Crystal system: monoclinic

---

5.
A plane-wave DFT calculation with GGA-PBE was carried out for a relaxed Sm7P5S crystal.

Cell lengths 13.500, 4.056, 23.992 Å; angles 90.00, 90.02, 90.00 degrees
Space group C2/m (No. 12)
One atom of each set of equivalent atoms:
Sm (0.048, 0.000, 0.250) x4
Sm (0.086, 0.500, 0.396) x4
Sm (0.087, 0.500, 0.104) x4
Sm (0.138, 0.000, 0.536) x4
Sm (0.138, 0.000, 0.964) x4
Sm (0.180, 0.500, 0.676) x4
Sm (0.180, 0.500, 0.824) x4
P (0.000, 0.500, 0.000) x2
P (0.000, 0.500, 0.500) x2
P (0.046, 0.000, 0.647) x4
P (0.046, 0.000, 0.853) x4
P (0.227, 0.000, 0.075) x4
P (0.227, 0.000, 0.425) x4
S (0.201, 0.500, 0.250) x4

## Properties
Calculated total energy: -334.5 eV per cell
Uncorrected formation energy: -1.493 eV per atom
Crystal system: monoclinic

---

6.
A plane-wave DFT calculation with GGA-PBE was carried out for a relaxed Sm2PS crystal.

Cell lengths 5.739, 5.739, 11.514 Å; angles 90.00, 90.00, 90.00 degrees
Space group I4_1/amd (No. 141, origin choice 2)
One atom of each set of equivalent atoms:
Sm (0.000, 0.250, 0.121) x8
P (0.000, 0.250, 0.875) x4
S (0.000, 0.250, 0.375) x4

## Properties
Excess energy over the best structure of this formula in the dataset: 0 meV per atom
Calculated total energy: -105.8 eV per cell
Uncorrected formation energy: -1.868 eV per atom
Crystal system: tetragonal

---

7.
A plane-wave DFT calculation with GGA-PBE was carried out for a relaxed Sm4P3S crystal.

Cell lengths 5.777, 5.777, 11.552 Å; angles 90.00, 90.00, 90.00 degrees
Space group I4/mmm (No. 139)
One atom of each set of equivalent atoms:
Sm (0.000, 0.000, 0.247) x4
Sm (0.000, 0.500, 0.000) x4
P (0.000, 0.000, 0.000) x2
P (0.000, 0.500, 0.250) x4
S (0.000, 0.000, 0.500) x2

## Properties
Calculated total energy: -106.3 eV per cell
Uncorrected formation energy: -1.740 eV per atom
Crystal system: tetragonal

---

8.
A plane-wave DFT calculation with GGA-PBE was carried out for a relaxed Sm6PS5 crystal.

Cell lengths 6.970, 12.082, 6.984 Å; angles 90.00, 109.31, 90.00 degrees
Space group C2/m (No. 12)
One atom of each set of equivalent atoms:
Sm (0.246, 0.164, 0.246) x8
Sm (0.247, 0.000, 0.755) x4
P (0.000, 0.000, 0.000) x2
S (0.000, 0.167, 0.500) x4
S (0.000, 0.333, 0.000) x4
S (0.000, 0.500, 0.500) x2

## Properties
Calculated total energy: -156.2 eV per cell
Uncorrected formation energy: -1.980 eV per atom
Crystal system: monoclinic

---

9.
A plane-wave DFT calculation with GGA-PBE was carried out for a relaxed Sm2PS crystal.

Cell lengths 4.062, 5.737, 8.145 Å; angles 90.00, 90.00, 90.00 degrees
Space group Pmmn (No. 59, origin choice 2)
One atom of each set of equivalent atoms:
Sm (0.250, 0.250, 0.119) x2
Sm (0.250, 0.250, 0.633) x2
P (0.250, 0.750, 0.128) x2
S (0.250, 0.750, 0.622) x2

## Properties
Excess energy over the best structure of this formula in the dataset: 3 meV per atom
Calculated total energy: -52.9 eV per cell
Uncorrected formation energy: -1.865 eV per atom
Crystal system: orthorhombic

---

10.
A plane-wave DFT calculation with GGA-PBE was carried out for a relaxed Sm2PS crystal.

Cell lengths 4.0584, 4.0584, 19.9861 Å; angles 90.00, 90.00, 120.00 degrees
Space group R-3m (No. 166, hexagonal axes)
One atom of each set of equivalent atoms:
Sm (0.0000, 0.0000, 0.2472) x6
P (0.0000, 0.0000, 0.5000) x3
S (0.0000, 0.0000, 0.0000) x3

## Properties
Excess energy over the best structure of this formula in the dataset: 6 meV per atom
Calculated total energy: -79.3 eV per cell
Uncorrected formation energy: -1.862 eV per atom
Crystal system: trigonal

---

11.
A plane-wave DFT calculation with GGA-PBE was carried out for a relaxed Sm4PS2 crystal.

Cell lengths 3.997, 6.822, 7.747 Å; angles 115.68, 104.87, 90.01 degrees
Space group P-1 (No. 2)
One atom of each set of equivalent atoms:
Sm (0.125, 0.455, 0.249) x2
Sm (0.375, 0.034, 0.750) x2
P (0.000, 0.000, 0.000) x1
S (0.257, 0.261, 0.515) x2

## Properties
Calculated total energy: -43.4 eV per cell
Uncorrected formation energy: -1.549 eV per atom
Crystal system: triclinic

---

12.
A plane-wave DFT calculation with GGA-PBE was carried out for a relaxed Sm4P2S crystal.

Cell lengths 8.919, 8.919, 9.122 Å; angles 90.00, 90.00, 90.00 degrees
Space group I4_1/amd (No. 141, origin choice 2)
One atom of each set of equivalent atoms:
Sm (0.000, 0.053, 0.204) x16
P (0.000, 0.000, 0.500) x8
S (0.000, 0.250, 0.875) x4

## Properties
Calculated total energy: -171.9 eV per cell
Uncorrected formation energy: -1.307 eV per atom
Crystal system: tetragonal